Entry 1:
First-principles (PBE-GGA) data for a geometry-optimized Tb3HoRu3 structure, as listed in the Alexandria database.

```
data_Tb3HoRu3
_space_group_name_H-M_alt 'R 3 m'
_space_group_IT_number 160
_space_group_name_Hall 'R 3 -2"'
_cell_length_a 9.5440
_cell_length_b 9.5440
_cell_length_c 5.8528
_cell_angle_alpha 90.00
_cell_angle_beta 90.00
_cell_angle_gamma 120.00
loop_
_atom_site_label
_atom_site_type_symbol
_atom_site_fract_x
_atom_site_fract_y
_atom_site_fract_z
Tb1 Tb 0.0576 0.5288 0.0000
Ho1 Ho 0.0000 0.0000 0.8851
Ru1 Ru 0.0002 0.5001 0.4707
```

Results
calculated volume	153.90	Å³/f.u.
energy above the lowest structure with this stoichiometry	0.000	eV/atom
formation energy from the elements	-0.351	eV/atom
density	10.20	Mg/m³

Entry 2:
First-principles (PBE-GGA) data for a geometry-optimized Sc3Co2Ni7 structure, as listed in the Alexandria database.

```
data_Sc3Co2Ni7
_space_group_name_H-M_alt 'R -3 m'
_space_group_IT_number 166
_space_group_name_Hall '-R 3 2"'
_cell_length_a 4.8119
_cell_length_b 4.8119
_cell_length_c 23.8691
_cell_angle_alpha 90.00
_cell_angle_beta 90.00
_cell_angle_gamma 120.00
loop_
_atom_site_label
_atom_site_type_symbol
_atom_site_fract_x
_atom_site_fract_y
_atom_site_fract_z
Sc1 Sc 0.0000 0.0000 0.0000
Sc2 Sc 0.0000 0.0000 0.1389
Co1 Co 0.0000 0.0000 0.3335
Ni1 Ni 0.0000 0.0000 0.5000
Ni2 Ni 0.0021 0.5010 0.9168
```

Results
calculated volume	159.54	Å³/f.u.
formation energy from the elements	-0.380	eV/atom
density	6.91	Mg/m³

Entry 3:
First-principles (PBE-GGA) data for a geometry-optimized CdAs structure, as listed in the Alexandria database.

```
data_CdAs
_space_group_name_H-M_alt 'P 1'
_space_group_IT_number 1
_space_group_name_Hall 'P 1'
_cell_length_a 4.565
_cell_length_b 4.576
_cell_length_c 6.251
_cell_angle_alpha 104.45
_cell_angle_beta 95.79
_cell_angle_gamma 118.90
loop_
_atom_site_label
_atom_site_type_symbol
_atom_site_fract_x
_atom_site_fract_y
_atom_site_fract_z
Cd1 Cd 0.000 0.000 0.000
Cd2 Cd 0.217 0.197 0.573
As1 As 0.703 0.383 0.083
As2 As 0.853 0.499 0.513
```

Results
calculated volume	53.43	Å³/f.u.
energy above the lowest structure with this stoichiometry	0.063	eV/atom
formation energy from the elements	-0.019	eV/atom
density	5.82	Mg/m³

Entry 4:
First-principles (PBE-GGA) data for a geometry-optimized BaSnAsH structure, as listed in the Alexandria database.

```
data_BaSnAsH
_space_group_name_H-M_alt 'P 63 m c'
_space_group_IT_number 186
_space_group_name_Hall 'P 6c -2c'
_cell_length_a 5.0210
_cell_length_b 5.0210
_cell_length_c 10.3404
_cell_angle_alpha 90.00
_cell_angle_beta 90.00
_cell_angle_gamma 120.00
loop_
_atom_site_label
_atom_site_type_symbol
_atom_site_fract_x
_atom_site_fract_y
_atom_site_fract_z
Ba1 Ba 0.3333 0.6667 0.0000
Sn1 Sn 0.0000 0.0000 0.2855
As1 As 0.3333 0.6667 0.3119
H1 H 0.0000 0.0000 0.1042
```

Results
calculated volume	112.88	Å³/f.u.
uncorrected energy	-31.58	eV/cell
density	4.88	Mg/m³

Entry 5:
First-principles (PBE-GGA) data for a geometry-optimized NbBr2 structure, as listed in the Alexandria database.

```
data_NbBr2
_space_group_name_H-M_alt 'C 1 2/m 1'
_space_group_IT_number 12
_space_group_name_Hall '-C 2y'
_cell_length_a 14.920
_cell_length_b 3.559
_cell_length_c 6.176
_cell_angle_alpha 90.00
_cell_angle_beta 104.53
_cell_angle_gamma 90.00
loop_
_atom_site_label
_atom_site_type_symbol
_atom_site_fract_x
_atom_site_fract_y
_atom_site_fract_z
Nb1 Nb 0.241 0.000 0.323
Br1 Br 0.113 0.500 0.344
Br2 Br 0.146 0.000 0.867
```

Results
formation energy without anion corrections	-0.72	eV per atom
calculated volume	79.37	Å³/f.u.
density	5.29	Mg/m³

Entry 6:
First-principles (PBE-GGA) data for a geometry-optimized V3RhSe structure, as listed in the Alexandria database.

```
data_V3RhSe
_space_group_name_H-M_alt 'P m -3 m'
_space_group_IT_number 221
_space_group_name_Hall '-P 4 2 3'
_cell_length_a 4.430
_cell_length_b 4.430
_cell_length_c 4.430
_cell_angle_alpha 90.00
_cell_angle_beta 90.00
_cell_angle_gamma 90.00
loop_
_atom_site_label
_atom_site_type_symbol
_atom_site_fract_x
_atom_site_fract_y
_atom_site_fract_z
V1 V 0.000 0.000 0.500
Rh1 Rh 0.500 0.500 0.500
Se1 Se 0.000 0.000 0.000
```

Results
formation energy without anion corrections	0.70	eV per atom
calculated volume	86.94	Å³/f.u.
energy above the lowest structure with this stoichiometry	0.000	eV/atom
density	6.39	Mg/m³

Entry 7:
First-principles (PBE-GGA) data for a geometry-optimized Th4Ge2AsP structure, as listed in the Alexandria database.

```
data_Th4Ge2AsP
_space_group_name_H-M_alt 'P 1 2/m 1'
_space_group_IT_number 10
_space_group_name_Hall '-P 2y'
_cell_length_a 7.345
_cell_length_b 4.264
_cell_length_c 7.389
_cell_angle_alpha 90.00
_cell_angle_beta 109.64
_cell_angle_gamma 90.00
loop_
_atom_site_label
_atom_site_type_symbol
_atom_site_fract_x
_atom_site_fract_y
_atom_site_fract_z
Th1 Th 0.246 0.000 0.245
Th2 Th 0.249 0.500 0.754
Ge1 Ge 0.500 0.000 0.000
Ge2 Ge 0.500 0.500 0.500
As1 As 0.000 0.000 0.500
P1 P 0.000 0.500 0.000
```

Results
calculated volume	217.96	Å³/f.u.
formation energy from the elements	-1.120	eV/atom
density	8.98	Mg/m³

Entry 8:
First-principles (PBE-GGA) data for a geometry-optimized HfTi2HPb structure, as listed in the Alexandria database.

```
data_HfTi2HPb
_space_group_name_H-M_alt 'P 4/m m m'
_space_group_IT_number 123
_space_group_name_Hall '-P 4 2'
_cell_length_a 4.345
_cell_length_b 4.345
_cell_length_c 4.222
_cell_angle_alpha 90.00
_cell_angle_beta 90.00
_cell_angle_gamma 90.00
loop_
_atom_site_label
_atom_site_type_symbol
_atom_site_fract_x
_atom_site_fract_y
_atom_site_fract_z
Hf1 Hf 0.000 0.000 0.000
Ti1 Ti 0.000 0.500 0.500
H1 H 0.000 0.000 0.500
Pb1 Pb 0.500 0.500 0.000
```

Results
calculated volume	79.70	Å³/f.u.
uncorrected energy	-33.66	eV/cell
density	10.05	Mg/m³

Entry 9:
First-principles (PBE-GGA) data for a geometry-optimized MnS5Cl structure, as listed in the Alexandria database.

```
data_MnS5Cl
_space_group_name_H-M_alt 'C 1 2 1'
_space_group_IT_number 5
_space_group_name_Hall 'C 2y'
_cell_length_a 5.552
_cell_length_b 21.789
_cell_length_c 4.289
_cell_angle_alpha 90.00
_cell_angle_beta 121.49
_cell_angle_gamma 90.00
loop_
_atom_site_label
_atom_site_type_symbol
_atom_site_fract_x
_atom_site_fract_y
_atom_site_fract_z
Mn1 Mn 0.000 0.000 0.000
S1 S 0.000 0.756 0.000
S2 S 0.148 0.426 0.766
S3 S 0.156 0.697 0.772
Cl1 Cl 0.000 0.052 0.500
```

Results
formation energy without anion corrections	-0.16	eV per atom
calculated volume	221.20	Å³/f.u.
density	1.88	Mg/m³

Entry 10:
First-principles (PBE-GGA) data for a geometry-optimized KIn4Au structure, as listed in the Alexandria database.

```
data_KIn4Au
_space_group_name_H-M_alt 'F -4 3 m'
_space_group_IT_number 216
_space_group_name_Hall 'F -4 2 3'
_cell_length_a 8.803
_cell_length_b 8.803
_cell_length_c 8.803
_cell_angle_alpha 90.00
_cell_angle_beta 90.00
_cell_angle_gamma 90.00
loop_
_atom_site_label
_atom_site_type_symbol
_atom_site_fract_x
_atom_site_fract_y
_atom_site_fract_z
K1 K 0.000 0.000 0.000
In1 In 0.124 0.124 0.376
Au1 Au 0.250 0.250 0.750
```

Results
calculated volume	170.52	Å³/f.u.
energy above the lowest structure with this stoichiometry	0.254	eV/atom
formation energy from the elements	0.064	eV/atom
density	6.77	Mg/m³

Entry 11:
First-principles (PBE-GGA) data for a geometry-optimized Li2PdBrN structure, as listed in the Alexandria database.

```
data_Li2PdBrN
_space_group_name_H-M_alt 'P 4/m m m'
_space_group_IT_number 123
_space_group_name_Hall '-P 4 2'
_cell_length_a 4.798
_cell_length_b 4.798
_cell_length_c 4.794
_cell_angle_alpha 90.00
_cell_angle_beta 90.00
_cell_angle_gamma 90.00
loop_
_atom_site_label
_atom_site_type_symbol
_atom_site_fract_x
_atom_site_fract_y
_atom_site_fract_z
Li1 Li 0.000 0.500 0.000
Pd1 Pd 0.000 0.000 0.500
Br1 Br 0.000 0.000 0.000
N1 N 0.500 0.500 0.500
```

Results
formation energy without anion corrections	0.64	eV per atom
calculated volume	110.35	Å³/f.u.
density	3.22	Mg/m³

Entry 12:
First-principles (PBE-GGA) data for a geometry-optimized K2YRh structure, as listed in the Alexandria database.

```
data_K2YRh
_space_group_name_H-M_alt 'P 4 m m'
_space_group_IT_number 99
_space_group_name_Hall 'P 4 -2'
_cell_length_a 3.661
_cell_length_b 3.661
_cell_length_c 11.259
_cell_angle_alpha 90.00
_cell_angle_beta 90.00
_cell_angle_gamma 90.00
loop_
_atom_site_label
_atom_site_type_symbol
_atom_site_fract_x
_atom_site_fract_y
_atom_site_fract_z
K1 K 0.000 0.000 0.000
K2 K 0.500 0.500 0.367
Y1 Y 0.500 0.500 0.688
Rh1 Rh 0.000 0.000 0.589
```

Results
calculated volume	150.88	Å³/f.u.
energy above the lowest structure with this stoichiometry	0.013	eV/atom
formation energy from the elements	-0.040	eV/atom
density	2.97	Mg/m³

Entry 13:
First-principles (PBE-GGA) data for a geometry-optimized Tm4IrPd3 structure, as listed in the Alexandria database.

```
data_Tm4IrPd3
_space_group_name_H-M_alt 'P 4/m m m'
_space_group_IT_number 123
_space_group_name_Hall '-P 4 2'
_cell_length_a 3.439
_cell_length_b 3.439
_cell_length_c 13.801
_cell_angle_alpha 90.00
_cell_angle_beta 90.00
_cell_angle_gamma 90.00
loop_
_atom_site_label
_atom_site_type_symbol
_atom_site_fract_x
_atom_site_fract_y
_atom_site_fract_z
Tm1 Tm 0.000 0.000 0.118
Tm2 Tm 0.000 0.000 0.374
Ir1 Ir 0.500 0.500 0.000
Pd1 Pd 0.500 0.500 0.249
Pd2 Pd 0.500 0.500 0.500
```

Results
calculated volume	163.27	Å³/f.u.
formation energy from the elements	-0.944	eV/atom
density	12.07	Mg/m³

Entry 14:
First-principles (PBE-GGA) data for a geometry-optimized Fe14GeIr structure, as listed in the Alexandria database.

```
data_Fe14GeIr
_space_group_name_H-M_alt 'C m m m'
_space_group_IT_number 65
_space_group_name_Hall '-C 2 2'
_cell_length_a 5.826
_cell_length_b 8.132
_cell_length_c 8.101
_cell_angle_alpha 90.00
_cell_angle_beta 90.00
_cell_angle_gamma 90.00
loop_
_atom_site_label
_atom_site_type_symbol
_atom_site_fract_x
_atom_site_fract_y
_atom_site_fract_z
Fe1 Fe 0.000 0.000 0.000
Fe2 Fe 0.000 0.249 0.249
Fe3 Fe 0.000 0.500 0.000
Fe4 Fe 0.248 0.000 0.242
Fe5 Fe 0.250 0.250 0.000
Fe6 Fe 0.250 0.250 0.500
Ge1 Ge 0.000 0.000 0.500
Ir1 Ir 0.000 0.500 0.500
```

Results
calculated volume	191.88	Å³/f.u.
formation energy from the elements	-0.014	eV/atom
density	9.06	Mg/m³

Entry 15:
First-principles (PBE-GGA) data for a geometry-optimized SrHoGa2Pd5 structure, as listed in the Alexandria database.

```
data_SrHoGa2Pd5
_space_group_name_H-M_alt 'P 4/m m m'
_space_group_IT_number 123
_space_group_name_Hall '-P 4 2'
_cell_length_a 4.314
_cell_length_b 4.314
_cell_length_c 9.181
_cell_angle_alpha 90.00
_cell_angle_beta 90.00
_cell_angle_gamma 90.00
loop_
_atom_site_label
_atom_site_type_symbol
_atom_site_fract_x
_atom_site_fract_y
_atom_site_fract_z
Sr1 Sr 0.000 0.000 0.000
Ho1 Ho 0.000 0.000 0.500
Ga1 Ga 0.500 0.500 0.366
Pd1 Pd 0.000 0.500 0.237
Pd2 Pd 0.500 0.500 0.000
```

Results
calculated volume	170.84	Å³/f.u.
formation energy from the elements	-0.647	eV/atom
density	8.98	Mg/m³

Entry 16:
First-principles (PBE-GGA) data for a geometry-optimized LaTc6 structure, as listed in the Alexandria database.

```
data_LaTc6
_space_group_name_H-M_alt 'I m -3 m'
_space_group_IT_number 229
_space_group_name_Hall '-I 4 2 3'
_cell_length_a 6.794
_cell_length_b 6.794
_cell_length_c 6.794
_cell_angle_alpha 90.00
_cell_angle_beta 90.00
_cell_angle_gamma 90.00
loop_
_atom_site_label
_atom_site_type_symbol
_atom_site_fract_x
_atom_site_fract_y
_atom_site_fract_z
La1 La 0.000 0.000 0.000
Tc1 Tc 0.000 0.250 0.500
```

Results
calculated volume	156.82	Å³/f.u.
formation energy from the elements	0.742	eV/atom
density	7.70	Mg/m³

Entry 17:
First-principles (PBE-GGA) data for a geometry-optimized TbSmSiI structure, as listed in the Alexandria database.

```
data_TbSmSiI
_space_group_name_H-M_alt 'R 3 m'
_space_group_IT_number 160
_space_group_name_Hall 'R 3 -2"'
_cell_length_a 4.2129
_cell_length_b 4.2129
_cell_length_c 23.0122
_cell_angle_alpha 90.00
_cell_angle_beta 90.00
_cell_angle_gamma 120.00
loop_
_atom_site_label
_atom_site_type_symbol
_atom_site_fract_x
_atom_site_fract_y
_atom_site_fract_z
Tb1 Tb 0.0000 0.0000 0.0000
Sm1 Sm 0.0000 0.0000 0.2035
Si1 Si 0.0000 0.0000 0.6045
I1 I 0.0000 0.0000 0.4320
```

Results
formation energy without anion corrections	-0.90	eV per atom
calculated volume	117.91	Å³/f.u.
density	6.54	Mg/m³

Entry 18:
First-principles (PBE-GGA) data for a geometry-optimized BaSn2Au structure, as listed in the Alexandria database.

```
data_BaSn2Au
_space_group_name_H-M_alt 'R -3 m'
_space_group_IT_number 166
_space_group_name_Hall '-R 3 2"'
_cell_length_a 4.5374
_cell_length_b 4.5374
_cell_length_c 27.2958
_cell_angle_alpha 90.00
_cell_angle_beta 90.00
_cell_angle_gamma 120.00
loop_
_atom_site_label
_atom_site_type_symbol
_atom_site_fract_x
_atom_site_fract_y
_atom_site_fract_z
Ba1 Ba 0.0000 0.0000 0.0000
Sn1 Sn 0.0000 0.0000 0.1289
Au1 Au 0.0000 0.0000 0.5000
```

Results
calculated volume	162.23	Å³/f.u.
formation energy from the elements	-0.093	eV/atom
density	5.85	Mg/m³

Entry 19:
First-principles (PBE-GGA) data for a geometry-optimized AcPr2Ru2 structure, as listed in the Alexandria database.

```
data_AcPr2Ru2
_space_group_name_H-M_alt 'C 1 2/m 1'
_space_group_IT_number 12
_space_group_name_Hall '-C 2y'
_cell_length_a 12.139
_cell_length_b 4.145
_cell_length_c 5.914
_cell_angle_alpha 90.00
_cell_angle_beta 108.61
_cell_angle_gamma 90.00
loop_
_atom_site_label
_atom_site_type_symbol
_atom_site_fract_x
_atom_site_fract_y
_atom_site_fract_z
Ac1 Ac 0.000 0.000 0.000
Pr1 Pr 0.161 0.500 0.622
Ru1 Ru 0.195 0.500 0.124
```

Results
calculated volume	141.02	Å³/f.u.
formation energy from the elements	-0.044	eV/atom
density	8.37	Mg/m³

Entry 20:
First-principles (PBE-GGA) data for a geometry-optimized Ca2Tl15Pb2 structure, as listed in the Alexandria database.

```
data_Ca2Tl15Pb2
_space_group_name_H-M_alt 'R -3 m'
_space_group_IT_number 166
_space_group_name_Hall '-R 3 2"'
_cell_length_a 10.6632
_cell_length_b 10.6632
_cell_length_c 18.7785
_cell_angle_alpha 90.00
_cell_angle_beta 90.00
_cell_angle_gamma 120.00
loop_
_atom_site_label
_atom_site_type_symbol
_atom_site_fract_x
_atom_site_fract_y
_atom_site_fract_z
Ca1 Ca 0.0000 0.0000 0.1022
Tl1 Tl 0.0000 0.2968 0.0000
Tl2 Tl 0.0000 0.5000 0.5000
Tl3 Tl 0.0319 0.5159 0.1238
Pb1 Pb 0.0000 0.0000 0.2964
```

Results
calculated volume	616.38	Å³/f.u.
formation energy from the elements	0.006	eV/atom
density	9.59	Mg/m³